DyHo2Fe, relaxed, DFT PBE; polymorph energy (0 for the lowest one) = 0.0 meV/atom; spin magnetization = 0.00 μB/f.u.; symmetry = Pnma (62); VASP energy = -5.575 eV per atom; formation energy from the elements = -0.020 eV per atom
1.0
-0.110 -1.332 6.087
3.209 -6.123 -1.282
8.117 4.038 1.030
Ho Fe Dy
8 4 4
Direct
0.673 0.826 0.933
0.827 0.326 0.567
0.173 0.674 0.067
0.327 0.174 0.433
0.827 0.326 0.933
0.173 0.674 0.433
0.673 0.826 0.567
0.327 0.174 0.067
0.466 0.890 0.250
0.966 0.610 0.750
0.034 0.390 0.250
0.534 0.110 0.750
0.363 0.451 0.750
0.863 0.049 0.250
0.137 0.951 0.750
0.637 0.549 0.250



Ti6Pb2C, relaxed, DFT PBE; polymorph energy (0 for the lowest one) = 0.0 meV/atom; spin magnetization = 0.00 μB/f.u.; symmetry = I4/mmm (139); VASP energy = -7.374 eV per atom; formation energy from the elements = -0.262 eV per atom
1.0
-0.276 -5.946 -0.834
3.282 0.550 -5.007
7.063 -0.961 4.524
Ti Pb C
12 4 2
Direct
0.745 0.746 0.500
0.755 0.246 0.000
0.255 0.254 0.500
0.500 0.500 0.256
0.746 0.255 0.500
0.754 0.755 0.000
0.000 0.000 0.244
0.245 0.754 0.000
0.000 0.000 0.756
0.254 0.745 0.500
0.246 0.245 0.000
0.500 0.500 0.744
0.000 0.500 0.250
0.000 0.500 0.750
0.500 0.000 0.250
0.500 0.000 0.750
0.000 0.000 0.500
0.500 0.500 0.000



KTeWN2, relaxed, DFT PBE; polymorph energy (0 for the lowest one) = 2574.9 meV/atom; spin magnetization = 9.32 μB/f.u.; symmetry = P4/mmm (123); VASP energy = -3.850 eV per atom; formation energy without anion corrections = 14.59 eV per formula unit
1.0
-2.188 -3.124 2.621
3.161 -3.178 -1.149
4.123 1.996 5.821
W K Te N
1 1 1 2
Direct
0.500 0.500 0.500
0.000 0.000 0.000
0.000 0.000 0.500
0.500 0.000 0.000
0.000 0.500 0.000



Pm5DyPb8, relaxed, DFT PBE; spin magnetization = 0.00 μB/f.u.; symmetry = I-4 (82); VASP energy = -4.523 eV per atom; formation energy from the elements = -0.379 eV per atom
1.0
8.270 0.124 -0.214
-2.681 7.824 0.214
-2.907 -3.895 6.696
Pm Pb Dy
5 8 1
Direct
0.500 0.000 0.500
0.991 0.341 0.097
0.903 0.894 0.243
0.350 0.106 0.009
0.757 0.659 0.650
0.479 0.586 0.208
0.623 0.414 0.893
0.314 0.276 0.409
0.591 0.905 0.868
0.792 0.270 0.377
0.963 0.095 0.686
0.107 0.730 0.521
0.132 0.724 0.037
0.250 0.500 0.750



TmCdCu, relaxed, DFT PBE; spin magnetization = 0.00 μB/f.u.; symmetry = C2/m (12); VASP energy = -3.415 eV per atom; formation energy from the elements = -0.254 eV per atom
1.0
3.855 0.000 0.000
0.000 5.200 -0.100
-1.927 -1.232 6.304
Tm Cu Cd
2 2 2
Direct
0.868 0.688 0.737
0.132 0.312 0.263
0.229 0.848 0.458
0.771 0.152 0.542
0.429 0.218 0.858
0.571 0.782 0.142



Pu2GeBi, relaxed, DFT PBE; polymorph energy (0 for the lowest one) = 35.6 meV/atom; spin magnetization = 11.66 μB/f.u.; symmetry = P4/mmm (123); VASP energy = -9.626 eV per atom; formation energy from the elements = -0.335 eV per atom
1.0
4.415 0.000 0.000
0.000 4.793 0.000
0.000 0.000 4.793
Ge Pu Bi
1 2 1
Direct
0.500 0.000 0.000
0.000 0.000 0.500
0.000 0.500 0.000
0.500 0.500 0.500



Dy4Tm3Zn, relaxed, DFT PBE; spin magnetization = 0.00 μB/f.u.; symmetry = P4/mmm (123); VASP energy = -4.203 eV per atom; formation energy from the elements = -0.066 eV per atom
1.0
3.530 0.000 0.000
0.000 3.530 0.000
0.000 0.000 18.485
Dy Tm Zn
4 3 1
Direct
0.000 0.000 0.097
0.000 0.000 0.903
0.000 0.000 0.634
0.000 0.000 0.366
0.500 0.500 0.767
0.500 0.500 0.500
0.500 0.500 0.233
0.500 0.500 0.000



SrLiMgGa, relaxed, DFT PBE; spin magnetization = 0.00 μB/f.u.; symmetry = R3m (160); VASP energy = -2.280 eV per atom; formation energy from the elements = -0.225 eV per atom
1.0
4.775 0.000 0.000
-2.388 4.136 0.000
0.000 -2.750 5.482
Ga Sr Mg Li
1 1 1 1
Direct
0.419 0.837 0.899
0.623 0.245 0.510
0.109 0.217 0.968
0.816 0.633 0.091



Na2CrFe, relaxed, DFT PBE; spin magnetization = 0.00 μB/f.u.; symmetry = Fm-3m (225); VASP energy = -3.244 eV per atom; formation energy from the elements = 1.937 eV per atom
1.0
0.000 3.248 3.248
3.248 0.000 3.248
3.248 3.248 0.000
Cr Fe Na
1 1 2
Direct
0.000 0.000 0.000
0.500 0.500 0.500
0.750 0.750 0.750
0.250 0.250 0.250



Pu2Cd2Ge, relaxed, DFT PBE; spin magnetization = 11.39 μB/f.u.; symmetry = I4/mmm (139); VASP energy = -7.005 eV per atom; formation energy from the elements = 0.017 eV per atom
1.0
-2.200 1.976 2.553
-1.685 -3.338 1.131
7.966 -0.334 4.133
Ge Cd Pu
1 2 2
Direct
0.000 0.000 0.000
0.750 0.250 0.500
0.250 0.750 0.500
0.584 0.584 0.167
0.416 0.416 0.833



PuTl2Br2O2, relaxed, DFT PBE; spin magnetization = 4.00 μB/f.u.; symmetry = I4/mmm (139); VASP energy = -6.223 eV per atom; formation energy without anion corrections = -11.23 eV per formula unit
1.0
4.411 0.000 0.000
0.000 4.411 0.000
-2.206 -2.206 9.128
Tl O Br Pu
2 2 2 1
Direct
0.377 0.377 0.754
0.623 0.623 0.246
0.500 0.000 0.000
0.000 0.500 0.000
0.834 0.834 0.669
0.166 0.166 0.331
0.000 0.000 0.000



Fe5Os, relaxed, DFT PBE; polymorph energy (0 for the lowest one) = 370.4 meV/atom; spin magnetization = 7.66 μB/f.u.; symmetry = P6/mmm (191); VASP energy = -8.469 eV per atom; formation energy from the elements = 0.455 eV per atom
1.0
2.288 -3.963 0.000
2.288 3.963 0.000
0.000 0.000 3.978
Fe Os
5 1
Direct
0.667 0.333 0.000
0.333 0.667 0.000
0.500 0.000 0.500
0.500 0.500 0.500
0.000 0.500 0.500
0.000 0.000 0.000



ZrTl2Br4Cl2, relaxed, DFT PBE; spin magnetization = 0.00 μB/f.u.; symmetry = C2/m (12); VASP energy = -3.916 eV per atom; formation energy without anion corrections = -11.58 eV per formula unit
1.0
7.536 1.116 0.759
2.816 6.975 0.122
2.816 2.675 6.443
Tl Br Cl Zr
2 4 2 1
Direct
0.742 0.246 0.246
0.258 0.754 0.754
0.695 0.799 0.290
0.305 0.710 0.201
0.305 0.201 0.710
0.695 0.290 0.799
0.807 0.772 0.772
0.193 0.228 0.228
0.500 0.000 0.000



LiAc2HfSe5, relaxed, DFT PBE; spin magnetization = 0.00 μB/f.u.; symmetry = Cmc2_1 (36); VASP energy = -5.833 eV per atom; formation energy without anion corrections = -14.99 eV per formula unit
1.0
4.241 0.000 0.000
-2.120 8.895 0.000
0.000 0.000 12.331
Se Ac Li Hf
10 4 2 2
Direct
0.307 0.615 0.366
0.503 0.007 0.274
0.497 0.993 0.774
0.711 0.423 0.159
0.053 0.105 0.051
0.650 0.300 0.505
0.693 0.385 0.866
0.947 0.895 0.551
0.350 0.700 0.005
0.289 0.577 0.659
0.113 0.227 0.696
0.871 0.741 0.807
0.887 0.773 0.196
0.129 0.259 0.307
0.443 0.886 0.453
0.557 0.114 0.953
0.195 0.389 0.014
0.805 0.611 0.514



YHoTe2, relaxed, DFT PBE; polymorph energy (0 for the lowest one) = 148.1 meV/atom; spin magnetization = 1.37 μB/f.u.; symmetry = Fm-3m (225); VASP energy = -5.489 eV per atom; formation energy without anion corrections = -4.63 eV per formula unit
1.0
5.350 0.000 0.000
2.675 4.633 0.000
2.675 1.544 4.368
Te Ho Y
2 1 1
Direct
0.750 0.750 0.750
0.250 0.250 0.250
0.000 0.000 0.000
0.500 0.500 0.500



YTiTlZn, relaxed, DFT PBE; spin magnetization = 0.00 μB/f.u.; symmetry = F-43m (216); VASP energy = -4.575 eV per atom; formation energy from the elements = -0.075 eV per atom
1.0
-1.833 3.632 2.823
-3.440 3.058 -1.825
-4.664 -0.256 1.644
Zn Ti Y Tl
1 1 1 1
Direct
0.250 0.250 0.250
0.500 0.500 0.500
0.000 0.000 0.000
0.750 0.750 0.750



NpTcAsO, relaxed, DFT PBE; spin magnetization = 3.54 μB/f.u.; symmetry = P4/nmm (129); VASP energy = -9.644 eV per atom; formation energy without anion corrections = -5.66 eV per formula unit
1.0
4.028 0.000 0.000
0.000 4.028 0.000
0.000 0.000 8.116
Tc O As Np
2 2 2 2
Direct
0.000 0.000 0.000
0.500 0.500 0.000
0.500 0.500 0.500
0.000 0.000 0.500
0.000 0.500 0.822
0.500 0.000 0.178
0.000 0.500 0.356
0.500 0.000 0.644



ThIn3Te6, relaxed, DFT PBE; spin magnetization = 0.00 μB/f.u.; symmetry = P2_1/m (11); VASP energy = -3.975 eV per atom; formation energy without anion corrections = -5.27 eV per formula unit
1.0
-4.259 -1.137 0.940
4.396 -7.267 11.119
-2.791 11.848 1.691
Te In Th
12 6 2
Direct
0.250 0.202 0.338
0.250 0.514 0.325
0.750 0.756 0.244
0.250 0.917 0.533
0.750 0.281 0.020
0.750 0.083 0.467
0.250 0.043 0.902
0.750 0.486 0.675
0.750 0.798 0.662
0.750 0.957 0.098
0.250 0.244 0.756
0.250 0.719 0.980
0.750 0.655 0.398
0.250 0.814 0.819
0.250 0.437 0.040
0.750 0.563 0.960
0.750 0.186 0.181
0.250 0.345 0.602
0.250 0.937 0.278
0.750 0.063 0.722



K3Na3CoCl8, relaxed, DFT PBE; spin magnetization = 3.00 μB/f.u.; symmetry = C2/m (12); VASP energy = -3.533 eV per atom; formation energy without anion corrections = -23.87 eV per formula unit
1.0
8.228 0.000 0.000
-4.114 7.135 -0.027
0.000 -4.735 7.148
Na K Cl Co
3 3 8 1
Direct
0.500 0.500 0.500
0.500 0.000 0.500
0.000 0.500 0.500
0.500 0.500 0.000
0.000 0.000 0.000
0.000 0.500 0.000
0.740 0.480 0.720
0.773 0.984 0.695
0.227 0.016 0.305
0.211 0.423 0.695
0.789 0.016 0.305
0.260 0.520 0.280
0.211 0.984 0.695
0.789 0.577 0.305
0.000 0.000 0.500



ReSi2Ni, relaxed, DFT PBE; spin magnetization = 0.00 μB/f.u.; symmetry = R-3m (166); VASP energy = -7.428 eV per atom; formation energy without anion corrections = -0.64 eV per formula unit
1.0
7.837 0.014 0.008
7.335 2.760 0.008
7.335 1.341 2.412
Si Ni Re
2 1 1
Direct
0.504 0.504 0.504
0.996 0.996 0.996
0.250 0.250 0.250
0.750 0.750 0.750



PdRuRh2, relaxed, DFT PBE; polymorph energy (0 for the lowest one) = 0.0 meV/atom; spin magnetization = 0.00 μB/f.u.; symmetry = R-3m (166); VASP energy = -7.273 eV per atom; formation energy from the elements = 0.020 eV per atom
1.0
-0.374 -0.569 -2.637
-2.161 -1.460 -0.785
-5.589 6.857 -2.094
Rh Pd Ru
2 1 1
Direct
0.747 0.747 0.759
0.253 0.253 0.241
0.500 0.500 0.500
0.000 0.000 0.000



MnNi2H2, relaxed, DFT PBE; polymorph energy (0 for the lowest one) = 104.7 meV/atom; spin magnetization = 0.01 μB/f.u.; symmetry = I4/mmm (139); VASP energy = -5.355 eV per atom
1.0
2.549 0.000 0.000
0.000 2.549 0.000
1.275 1.275 5.819
H Ni Mn
2 2 1
Direct
0.750 0.250 0.500
0.250 0.750 0.500
0.652 0.652 0.697
0.348 0.348 0.303
0.000 0.000 0.000



Cs2KAg, relaxed, DFT PBE; polymorph energy (0 for the lowest one) = 109.4 meV/atom; spin magnetization = 0.00 μB/f.u.; symmetry = Fm-3m (225); VASP energy = -1.286 eV per atom; formation energy from the elements = 0.128 eV per atom
1.0
-0.510 0.289 6.948
-4.965 3.889 2.973
-5.363 -3.067 3.232
K Ag Cs
1 1 2
Direct
0.000 0.000 0.000
0.500 0.500 0.500
0.250 0.250 0.250
0.750 0.750 0.750



Na4LiAc, relaxed, DFT PBE; spin magnetization = 1.19 μB/f.u.; symmetry = F-43m (216); VASP energy = -1.670 eV per atom; formation energy from the elements = 0.213 eV per atom
1.0
6.724 0.000 0.000
3.362 5.823 0.000
3.362 1.941 5.490
Na Ac Li
4 1 1
Direct
0.123 0.626 0.626
0.626 0.626 0.123
0.626 0.123 0.626
0.626 0.626 0.626
0.250 0.250 0.250
0.000 0.000 0.000